Co6Ni12Rh after structural relaxation. Source: Alexandria via LeMat-Bulk, functional PBE.

Calculated density ... 8.7 g/cm³
E_tot ... -6.137 eV/atom
Energy of formation ... 145 meV per atom
Total magnetization ... 19.2 μB per cell

Cell and atoms, written as POSCAR:
```
Co6Ni12Rh
1.0
4.2666 2.4633 3.5018
-4.2666 2.4633 3.5018
0.0000 -4.9266 3.5018
Co Ni Rh
6 12 1
Direct
0.2176 0.7660 0.6161
0.2340 0.3839 0.7824
0.3839 0.7824 0.2340
0.6161 0.2176 0.7660
0.7660 0.6161 0.2176
0.7824 0.2340 0.3839
0.0183 0.9284 0.3036
0.0716 0.6964 0.9817
0.1217 0.4622 0.3404
0.3036 0.0183 0.9284
0.3404 0.1217 0.4622
0.4622 0.3404 0.1217
0.5378 0.6596 0.8783
0.6596 0.8783 0.5378
0.6964 0.9817 0.0716
0.8783 0.5378 0.6596
0.9284 0.3036 0.0183
0.9817 0.0716 0.6964
0.5000 0.5000 0.5000
```



TiCo3Bi after structural relaxation. Source: Alexandria via LeMat-Bulk, functional PBE.

Calculated density ... 8.4 g/cm³
E_tot ... -5.756 eV/atom
Energy of formation ... 862 meV per atom
Total magnetization ... 1.5 μB per cell

Cell and atoms, written as POSCAR:
```
TiCo3Bi
1.0
4.4094 0.0000 0.0000
0.0000 4.4094 0.0000
0.0000 0.0000 4.4094
Ti Co Bi
1 3 1
Direct
0.0000 0.0000 0.0000
0.0000 0.0000 0.5000
0.0000 0.5000 0.0000
0.5000 0.0000 0.0000
0.5000 0.5000 0.5000
```



Li2LaTa after structural relaxation. Source: Alexandria via LeMat-Bulk, functional PBE.

Calculated density ... 6.2 g/cm³
E_tot ... -4.738 eV/atom
Energy of formation ... 414 meV per atom
Total magnetization ... 0.7 μB per cell

Cell and atoms, written as POSCAR:
```
Li2LaTa
1.0
1.5380 0.8880 10.9514
-1.5380 0.8880 10.9514
0.0000 -1.7759 10.9514
Li La Ta
2 1 1
Direct
0.0000 0.0000 0.0000
0.2547 0.2547 0.2547
0.7602 0.7602 0.7602
0.5137 0.5137 0.5137
```



Pm4Rh2N after structural relaxation. Source: Alexandria via LeMat-Bulk, functional PBE.

Formation energy without anion corrections ... -0.663 eV per atom
Calculated density ... 7.9 g/cm³
E_tot ... -6.667 eV/atom
Total magnetization ... 0.0 μB per cell

Cell and atoms, written as POSCAR:
```
Pm4Rh2N
1.0
-2.4075 2.4075 7.2262
2.4075 -2.4075 7.2262
2.4075 2.4075 -7.2262
Pm Rh N
4 2 1
Direct
0.0000 0.5000 0.5000
0.1803 0.1803 0.0000
0.5000 0.0000 0.5000
0.8197 0.8197 0.0000
0.3686 0.3686 0.0000
0.6314 0.6314 0.0000
0.0000 0.0000 0.0000
```



Na2NdPb9 after structural relaxation. Source: Alexandria via LeMat-Bulk, functional PBE.

Calculated density ... 9.5 g/cm³
E_tot ... -3.601 eV/atom
Energy of formation ... -202 meV per atom
Total magnetization ... 0.0 μB per cell

Cell and atoms, written as POSCAR:
```
Na2NdPb9
1.0
4.8832 0.0000 0.0000
0.0000 4.8832 0.0000
0.0000 0.0000 15.0518
Na Nd Pb
2 1 9
Direct
0.0000 0.0000 0.1672
0.0000 0.0000 0.8328
0.0000 0.0000 0.5000
0.0000 0.5000 0.0000
0.0000 0.5000 0.3306
0.0000 0.5000 0.6694
0.5000 0.0000 0.0000
0.5000 0.0000 0.3306
0.5000 0.0000 0.6694
0.5000 0.5000 0.1630
0.5000 0.5000 0.5000
0.5000 0.5000 0.8370
```



K2LaIr after structural relaxation. Source: Alexandria via LeMat-Bulk, functional PBE.

Calculated density ... 3.9 g/cm³
E_tot ... -3.890 eV/atom
Energy of formation ... 106 meV per atom
Total magnetization ... 0.0 μB per cell

Cell and atoms, written as POSCAR:
```
K2LaIr
1.0
-1.9562 3.1506 7.1435
1.9562 -3.1506 7.1435
1.9562 3.1506 -7.1435
K La Ir
2 1 1
Direct
0.0000 0.0000 0.0000
0.6582 0.1582 0.5000
0.3411 0.8411 0.5000
0.4591 0.4591 0.0000
```



Ho2CoHg after structural relaxation. Source: Alexandria via LeMat-Bulk, functional PBE.

Calculated density ... 11.2 g/cm³
E_tot ... -4.485 eV/atom
Energy of formation ... -344 meV per atom
Total magnetization ... 0.5 μB per cell

Cell and atoms, written as POSCAR:
```
Ho2CoHg
1.0
3.4191 0.0000 0.0000
0.0000 3.4191 0.0000
0.0000 0.0000 7.4899
Ho Co Hg
2 1 1
Direct
0.0000 0.0000 0.2166
0.0000 0.0000 0.7834
0.5000 0.5000 0.0000
0.5000 0.5000 0.5000
```



Tl2MoAu after structural relaxation. Source: Alexandria via LeMat-Bulk, functional PBE.

Calculated density ... 14.2 g/cm³
E_tot ... -4.164 eV/atom
Energy of formation ... 547 meV per atom
Total magnetization ... 0.0 μB per cell

Cell and atoms, written as POSCAR:
```
Tl2MoAu
1.0
3.1615 -4.1548 0.0000
3.1615 4.1548 0.0000
0.0000 0.0000 3.1253
Tl Mo Au
2 1 1
Direct
0.0000 0.5000 0.0000
0.5000 0.0000 0.0000
0.0000 0.0000 0.5000
0.5000 0.5000 0.5000
```



HoEr2NpAs4 after structural relaxation. Source: Alexandria via LeMat-Bulk, functional PBE.

Calculated density ... 8.9 g/cm³
E_tot ... -6.958 eV/atom
Energy of formation ... -1303 meV per atom
Total magnetization ... 3.8 μB per cell

Cell and atoms, written as POSCAR:
```
HoEr2NpAs4
1.0
7.0819 0.0000 0.0000
0.0000 4.0856 0.0000
-2.3443 0.0000 6.6849
Ho Er Np As
1 2 1 4
Direct
0.0000 0.0000 0.0000
0.5000 0.0000 0.5000
0.5000 0.5000 0.0000
0.0000 0.5000 0.5000
0.2499 0.5000 0.2517
0.2506 0.0000 0.7498
0.7494 0.0000 0.2502
0.7501 0.5000 0.7483
```



Hf8Ga2Ge3 after structural relaxation. Source: Alexandria via LeMat-Bulk, functional PBE.

Calculated density ... 10.8 g/cm³
E_tot ... -7.820 eV/atom
Energy of formation ... -164 meV per atom
Total magnetization ... 0.0 μB per cell

Cell and atoms, written as POSCAR:
```
Hf8Ga2Ge3
1.0
6.1598 -4.0206 0.0000
6.1598 4.0206 0.0000
-0.4002 0.0000 5.5377
Hf Ga Ge
8 2 3
Direct
0.0640 0.6809 0.3671
0.1118 0.1118 0.1267
0.3191 0.9360 0.6329
0.3378 0.3378 0.9159
0.6622 0.6622 0.0841
0.6809 0.0640 0.3671
0.8882 0.8882 0.8733
0.9360 0.3191 0.6329
0.2863 0.2863 0.4253
0.7137 0.7137 0.5747
0.2765 0.7235 0.0000
0.5000 0.5000 0.5000
0.7235 0.2765 0.0000
```



Al2FeNiBi after structural relaxation. Source: Alexandria via LeMat-Bulk, functional PBE.

Calculated density ... 6.0 g/cm³
E_tot ... -4.609 eV/atom
Energy of formation ... 513 meV per atom
Total magnetization ... 3.2 μB per cell

Cell and atoms, written as POSCAR:
```
Al2FeNiBi
1.0
4.4271 0.0000 0.0000
0.0000 4.4271 0.0000
0.0000 0.0000 5.3690
Al Fe Ni Bi
2 1 1 1
Direct
0.0000 0.5000 0.0000
0.5000 0.0000 0.0000
0.0000 0.0000 0.5000
0.5000 0.5000 0.0000
0.5000 0.5000 0.5000
```